This record from the Alexandria database describes crystalline Li3Sc2Tl4 at its relaxed geometry. The functional is PBE. Values from VASP.

Quantum ESPRESSO input file:
```
&SYSTEM
  ibrav = 0, nat = 18, ntyp = 3
/
ATOMIC_SPECIES
Li 6.94 Li.upf
Sc 44.96 Sc.upf
Tl 204.38 Tl.upf
ATOMIC_POSITIONS angstrom
Li 0.0000 0.0000 0.0000
Li 3.1551 3.8978 0.0000
Li 1.5776 5.8467 4.2834
Li 4.7327 1.9489 3.6154
Li 1.5776 1.9489 3.6154
Li -1.5776 5.8467 4.2834
Sc 0.0000 4.5422 1.6476
Sc 3.1551 3.2534 6.2512
Sc 0.0000 0.6444 6.2512
Sc 3.1551 7.1511 1.6476
Tl 1.5776 5.8467 7.0828
Tl 4.7327 1.9489 0.8159
Tl 1.5776 1.9489 0.8159
Tl -1.5776 5.8467 7.0828
Tl 0.0000 7.4757 2.7446
Tl 3.1551 0.3199 5.1542
Tl 0.0000 3.5779 5.1542
Tl 3.1551 4.2176 2.7446
CELL_PARAMETERS angstrom
6.3102 0.0000 0.0000
0.0000 7.7955 0.0000
-3.1551 0.0000 7.8987
```

- DFT formation energy (eV/atom) = -0.161
- DOS at the Fermi energy (states/eV/f.u.) = 5.84
- distance to the lowest polymorph of the same formula (meV/atom) = 44
- SG = Cmce

This record from the Alexandria database describes crystalline LiScTl2 at its relaxed geometry. The functional is PBE. Values from VASP.

Quantum ESPRESSO input file:
```
&SYSTEM
  ibrav = 0, nat = 4, ntyp = 3
/
ATOMIC_SPECIES
Li 6.94 Li.upf
Sc 44.96 Sc.upf
Tl 204.38 Tl.upf
ATOMIC_POSITIONS angstrom
Li 4.6426 2.6468 0.0000
Sc 1.6904 2.2265 1.4537
Tl 0.0240 0.0137 0.0000
Tl 3.3326 -0.3283 1.4609
CELL_PARAMETERS angstrom
6.1391 0.0089 0.0072
3.1350 5.2783 -0.0072
-4.2217 -3.3722 2.9145
```

- DFT formation energy (eV/atom) = -0.133
- DOS at the Fermi energy (states/eV/f.u.) = 3.21
- distance to the lowest polymorph of the same formula (meV/atom) = 145
- SG = Imm2

This record from the Alexandria database describes crystalline LiScTl at its relaxed geometry. The functional is PBE. Values from VASP.

Quantum ESPRESSO input file:
```
&SYSTEM
  ibrav = 0, nat = 3, ntyp = 3
/
ATOMIC_SPECIES
Li 6.94 Li.upf
Sc 44.96 Sc.upf
Tl 204.38 Tl.upf
ATOMIC_POSITIONS angstrom
Li 0.0000 0.0000 0.0000
Sc 4.7671 2.7523 1.9462
Tl 2.3836 1.3762 0.9731
CELL_PARAMETERS angstrom
4.7671 0.0000 0.0000
2.3836 4.1285 0.0000
2.3836 1.3762 3.8924
```

- DFT formation energy (eV/atom) = 0.055
- DOS at the Fermi energy (states/eV/f.u.) = 3.15
- distance to the lowest polymorph of the same formula (meV/atom) = 294
- SG = F-43m

This record from the Alexandria database describes crystalline LiScTl at its relaxed geometry. The functional is PBE. Values from VASP.

Quantum ESPRESSO input file:
```
&SYSTEM
  ibrav = 0, nat = 3, ntyp = 3
/
ATOMIC_SPECIES
Li 6.94 Li.upf
Sc 44.96 Sc.upf
Tl 204.38 Tl.upf
ATOMIC_POSITIONS angstrom
Li 0.0000 0.0000 7.2612
Sc 1.6673 0.9626 2.4671
Tl 0.0000 1.9252 4.9952
CELL_PARAMETERS angstrom
3.3346 0.0000 0.0000
-1.6673 2.8879 0.0000
0.0000 0.0000 7.3618
```

- DFT formation energy (eV/atom) = 0.004
- DOS at the Fermi energy (states/eV/f.u.) = 2.99
- distance to the lowest polymorph of the same formula (meV/atom) = 244
- SG = P3m1

This record from the Alexandria database describes crystalline Li2ScTl3 at its relaxed geometry. The functional is PBE. Values from VASP.

Quantum ESPRESSO input file:
```
&SYSTEM
  ibrav = 0, nat = 6, ntyp = 3
/
ATOMIC_SPECIES
Li 6.94 Li.upf
Sc 44.96 Sc.upf
Tl 204.38 Tl.upf
ATOMIC_POSITIONS angstrom
Li -3.4696 -8.2717 -1.9568
Li -0.1011 -2.0290 -2.2553
Sc -1.7854 -5.1504 -2.1061
Tl 0.0000 0.0000 0.0000
Tl -3.4111 -6.3217 0.3023
Tl -1.6058 -2.9760 0.1423
CELL_PARAMETERS angstrom
-1.3453 0.5728 -3.2021
2.7915 -1.5758 -1.4546
-5.0169 -9.2978 0.4446
```

- DFT formation energy (eV/atom) = -0.230
- DOS at the Fermi energy (states/eV/f.u.) = 3.27
- distance to the lowest polymorph of the same formula (meV/atom) = 14
- SG = P4/mmm

This record from the Alexandria database describes crystalline Li2ScTl at its relaxed geometry. The functional is PBE. Values from VASP.

Quantum ESPRESSO input file:
```
&SYSTEM
  ibrav = 0, nat = 4, ntyp = 3
/
ATOMIC_SPECIES
Li 6.94 Li.upf
Sc 44.96 Sc.upf
Tl 204.38 Tl.upf
ATOMIC_POSITIONS angstrom
Li 0.1486 0.0241 0.0141
Li 14.0693 2.2791 1.3388
Sc 7.1089 1.1516 0.6765
Tl 21.3268 3.4547 2.0295
CELL_PARAMETERS angstrom
9.8317 -0.0850 -0.0500
9.3021 3.1845 -0.0500
9.3021 1.5068 2.8059
```

- DFT formation energy (eV/atom) = 0.057
- DOS at the Fermi energy (states/eV/f.u.) = 3.40
- SG = R-3m

Question: Which value of DFT formation energy does entry 6 give?
Answer: 0.057 eV/atom